This record from Alexandria describes BaScIn2 after structural relaxation. The functional is GGA-PBE.

```
data_BaScIn2
_chemical_formula_sum 'Ba2 Sc2 In4'
_symmetry_space_group_name_H-M 'A m m 2'
_symmetry_Int_Tables_number 38
_cell_length_a 4.798
_cell_length_b 3.775
_cell_length_c 14.030
_cell_angle_alpha 90.00
_cell_angle_beta 90.00
_cell_angle_gamma 90.00
loop_
_symmetry_equiv_pos_as_xyz
'x,y,z'
'-x,-y,z'
'-x,y,z'
'x,-y,z'
'x,y+1/2,z+1/2'
'-x,-y+1/2,z+1/2'
'-x,y+1/2,z+1/2'
'x,-y+1/2,z+1/2'
loop_
_atom_site_label
_atom_site_type_symbol
_atom_site_fract_x
_atom_site_fract_y
_atom_site_fract_z
_atom_site_occupancy
Ba1 Ba 0.000 0.000 0.000 1
Sc1 Sc 0.500 0.000 0.294 1
In1 In 0.000 0.000 0.752 1
In2 In 0.500 0.000 0.619 1
```

Properties
The calculated volume is 254.1 Å³ per cell. The value obtained for the calculated formation energy is -0.24 eV per atom. The value obtained for the density of states at the Fermi level is 0.7777 states/eV per atom.